An optimized crystal structure of MnFe2Os, computed with GGA-PBE. Values from VASP.

Cell and atoms, written as Quantum ESPRESSO input:
```
&SYSTEM
  ibrav = 0, nat = 8, ntyp = 3
/
ATOMIC_SPECIES
Mn 54.94 Mn.upf
Fe 55.84 Fe.upf
Os 190.23 Os.upf
CELL_PARAMETERS angstrom
-1.753 1.753 8.323
1.753 -1.753 8.323
1.753 1.753 -8.323
ATOMIC_POSITIONS angstrom
Mn 0.000 0.000 0.000
Mn 0.000 1.753 4.161
Fe 2.629 0.794 -2.081
Fe 0.794 0.876 2.081
Fe -0.876 0.959 6.242
Fe 0.959 0.876 10.404
Os 1.753 0.000 4.161
Os 0.000 0.000 8.323
```

## Properties
* final energy: -69.1 eV for the cell shown
* DOS(E_F): 1.45 states/eV/atom